(1)
VSiIrW after structural relaxation, computed with GGA-PBE.

```
data_VSiIrW
_space_group_name_H-M_alt 'F -4 3 m'
_space_group_IT_number 216
_space_group_name_Hall 'F -4 2 3'
_cell_length_a 6.058
_cell_length_b 6.058
_cell_length_c 6.058
_cell_angle_alpha 90.00
_cell_angle_beta 90.00
_cell_angle_gamma 90.00
loop_
_atom_site_label
_atom_site_type_symbol
_atom_site_fract_x
_atom_site_fract_y
_atom_site_fract_z
V1 V 0.000 0.000 0.000
Si1 Si 0.000 0.000 0.500
Ir1 Ir 0.250 0.250 0.250
W1 W 0.250 0.250 0.750
```

Output
The calculation puts the density of states at the Fermi level at 0.60 states/eV/atom. The formation energy from raw total energies is -270 meV/atom.

=====

(2)
Sc3TcO after structural relaxation, computed with GGA-PBE.

```
data_Sc3TcO
_space_group_name_H-M_alt 'C 1 2/m 1'
_space_group_IT_number 12
_cell_length_a 6.471
_cell_length_b 8.747
_cell_length_c 6.102
_cell_angle_alpha 90.00
_cell_angle_beta 104.64
_cell_angle_gamma 90.00
loop_
_space_group_symop_operation_xyz
'x,y,z'
'-x,-y,-z'
'-x,y,-z'
'x,-y,z'
'x+1/2,y+1/2,z'
'-x+1/2,-y+1/2,-z'
'-x+1/2,y+1/2,-z'
'x+1/2,-y+1/2,z'
loop_
_atom_site_label
_atom_site_type_symbol
_atom_site_fract_x
_atom_site_fract_y
_atom_site_fract_z
Sc1 Sc 0.062 0.237 0.270
Sc2 Sc 0.238 0.500 0.995
Tc1 Tc 0.186 0.500 0.491
O1 O 0.250 0.250 0.000
```

Output
The calculation puts the density of states at the Fermi level at 0.63 states/eV/atom. The formation energy from raw total energies is -1272 meV/atom. The calculation puts the offset from the most stable computed form at 0.051 eV per atom.